DFT (GGA+U) results for crystalline Ni2Hg2F7 at its relaxed geometry.

Summary:
For the total energy, the calculation gives -3.373 eV/atom. The value obtained for the magnetization is 8.0 μB/cell.

The structure in CIF format:
```
data_Ni2Hg2F7
_symmetry_space_group_name_H-M 'C 1 2/m 1'
_symmetry_Int_Tables_number 12
_symmetry_space_group_name_Hall '-C 2y'
_cell_length_a 8.654
_cell_length_b 6.415
_cell_length_c 5.292
_cell_angle_alpha 90.00
_cell_angle_beta 94.12
_cell_angle_gamma 90.00
loop_
_atom_site_label
_atom_site_type_symbol
_atom_site_fract_x
_atom_site_fract_y
_atom_site_fract_z
Ni1 Ni 0.246 0.000 0.031
Hg1 Hg 0.000 0.213 0.500
F1 F 0.000 0.000 0.000
F2 F 0.048 0.500 0.766
F3 F 0.228 0.274 0.235
```